Compound: ZnFeCo3
Source: Alexandria
Functional: GGA-PBEsol
Structure: relaxed

abc: 4.152 4.152 4.152
angles: 90.00 90.00 90.00
Fractional coordinates of all 5 atoms:
1 Zn 0.500 0.500 0.500
2 Co 0.000 0.500 0.000
3 Co 0.000 0.000 0.500
4 Co 0.500 0.000 0.000
5 Fe 0.000 0.000 0.000

Computed properties:
- Relative energy among the computed polymorphs: 0.000 eV/atom
- Energy of formation from the pure elements: 114.5 kJ/mol of atoms
- Uncorrected energy: -5.5642 eV per atom
- N(E_F): 2.063 states/eV per atom